# 1
NbGa2BiO8: relaxed, PBE-GGA.

## Properties
Theoretical density   6.64 Mg/m³
Uncorrected formation energy   -1.665 eV per atom

abc: 6.6088 6.7595 6.3783
angles: 90.00 90.00 90.00
Closest atoms and distances in Å follow each position.
Space group Cmmm (No. 65)
One atom of each set of equivalent atoms:
Nb: 0.0000 0.0000 0.0000 [2 per cell]  6 O 2.01-2.02
Ga: 0.0000 0.5000 0.2402 [4 per cell]  6 O 2.00-2.04
Bi: 0.0000 0.0000 0.5000 [2 per cell]  6 O 2.11-2.17
O: 0.0000 0.2013 0.2347 [8 per cell]  1 Ga 2.02, 1 Nb 2.02, 1 Bi 2.17
O: 0.1813 0.5000 0.5000 [4 per cell]  2 Ga 2.04, 1 Bi 2.11
O: 0.1954 0.5000 0.0000 [4 per cell]  2 Ga 2.00, 1 Nb 2.01

***

# 2
Nb2GaSnBi: relaxed, PBE-GGA.

## Properties
Theoretical density   7.80 Mg/m³
Formation energy from the elements   0.958 eV/atom

abc: 4.9834 4.9834 5.0005
angles: 90.00 90.00 90.00
Closest atoms and distances in Å follow each position.
Space group P4/mmm (No. 123)
One atom of each set of equivalent atoms:
Nb: 0.0000 0.5000 0.0000 [2 per cell]  2 Ga 2.49
Ga: 0.0000 0.0000 0.0000 [1 per cell]  4 Nb 2.49, 2 Sn 2.50
Sn: 0.0000 0.0000 0.5000 [1 per cell]  2 Ga 2.50
Bi: 0.5000 0.5000 0.5000 [1 per cell]  4 Sn 3.52, 8 Nb 3.53

***

# 3
Nd2GaBi4: relaxed, PBE-GGA.

## Properties
Theoretical density   8.75 Mg/m³
Formation energy from the elements   -0.332 eV/atom

abc: 16.1988 4.5989 6.4033
angles: 90.00 108.12 90.00
Closest atoms and distances in Å follow each position.
Space group C2/m (No. 12)
One atom of each set of equivalent atoms:
Nd: 0.2117 0.0000 0.2449 [4 per cell]  6 Bi 3.21-3.58, 1 Ga 3.30
Ga: 0.0000 0.0000 0.0000 [2 per cell]  6 Bi 3.07-3.29, 2 Nd 3.30
Bi: 0.0714 0.5000 0.3239 [4 per cell]  2 Ga 3.07, 2 Bi 3.34, 2 Nd 3.38
Bi: 0.1386 0.0000 0.7177 [4 per cell]  4 Nd 3.21-3.58, 1 Ga 3.29, 2 Bi 3.34

***

# 4
NdGa2Bi: relaxed, PBE-GGA.

## Properties
Theoretical density   8.28 Mg/m³
Formation energy from the elements   -0.466 eV/atom

abc: 4.7160 4.7160 4.4409
angles: 90.00 90.00 90.00
Closest atoms and distances in Å follow each position.
Space group P4/mmm (No. 123)
One atom of each set of equivalent atoms:
Nd: 0.0000 0.0000 0.0000 [1 per cell]  8 Ga 3.24, 4 Bi 3.33
Ga: 0.0000 0.5000 0.5000 [2 per cell]  4 Bi 3.24, 4 Nd 3.24, 4 Ga 3.33
Bi: 0.5000 0.5000 0.0000 [1 per cell]  8 Ga 3.24, 4 Nd 3.33

***

# 5
Nd3GaBi: relaxed, PBE-GGA.

## Properties
Theoretical density   7.25 Mg/m³
Formation energy from the elements   -0.520 eV/atom

abc: 6.4901 5.7164 8.7856
angles: 90.00 90.00 90.00
Closest atoms and distances in Å follow each position.
Space group Pmma (No. 51)
One atom of each set of equivalent atoms:
Nd: 0.0000 0.0000 0.0000 [2 per cell]  2 Ga 3.12, 2 Nd 3.25
Nd: 0.2500 0.0000 0.3635 [2 per cell]  1 Ga 2.93
Nd: 0.2500 0.5000 0.7414 [2 per cell]  2 Ga 2.88
Ga: 0.2500 0.0000 0.6969 [2 per cell]  5 Nd 2.88-3.12
Bi: 0.2500 0.5000 0.1516 [2 per cell]  9 Nd 3.38-3.60

***

# 6
Nd5GaBi4: relaxed, PBE-GGA.

## Properties
Theoretical density   8.07 Mg/m³
Formation energy from the elements   -0.790 eV/atom

abc: 10.1921 10.1921 6.4463
angles: 90.00 90.00 90.00
Closest atoms and distances in Å follow each position.
Space group I4/m (No. 87)
One atom of each set of equivalent atoms:
Nd: 0.0000 0.0000 0.0000 [2 per cell]  2 Ga 3.22, 4 Bi 3.22
Nd: 0.1008 0.7050 0.5000 [8 per cell]  1 Ga 3.18, 5 Bi 3.22-3.25
Ga: 0.0000 0.0000 0.5000 [2 per cell]  6 Nd 3.18-3.22
Bi: 0.0961 0.6987 0.0000 [8 per cell]  6 Nd 3.22-3.25

***

The Fermi-level density of states results, record by record, are as follows: 2.03, 8.47, 9.29, 1.14, 9.89, 11.95 states/eV per cell.